No. 1
Here is a relaxed Ca2ScHg6 crystal from Alexandria. Energies are from GGA-PBE.

abc: 14.4416 11.5717 5.4261
angles: 90.00 99.90 90.00
Closest atoms and distances in Å follow each position.
Space group C2/c (No. 15)
Inequivalent atoms, fractional coordinates:
Ca (0.1667, 0.1239, 0.0805)  10 Hg 3.11-3.38
Sc (0.0000, 0.3755, 0.2500)  10 Hg 3.06-3.20
Hg (0.0566, 0.1347, 0.5251)  4 Ca 3.11-3.38, 4 Hg 3.15-3.26, 1 Sc 3.20
Hg (0.1057, 0.3812, 0.8083)  5 Hg 3.01-3.26, 3 Sc 3.06-3.19, 1 Ca 3.24
Hg (0.2152, 0.3745, 0.3607)  1 Sc 3.06, 5 Hg 3.12-3.33, 4 Ca 3.17-3.34

=====

No. 2
Here is a relaxed HfMn3Tc crystal from Alexandria. Energies are from GGA-PBE.

abc: 4.4865 4.4865 4.4865
angles: 90.00 90.00 90.00
Closest atoms and distances in Å follow each position.
Space group Pm-3m (No. 221)
Inequivalent atoms, fractional coordinates:
Hf (0.0000, 0.0000, 0.0000)  12 Mn 3.17
Mn (0.0000, 0.5000, 0.5000)  2 Tc 2.24
Tc (0.5000, 0.5000, 0.5000)  6 Mn 2.24

Output
Polymorph energy (0 for the lowest one) (eV/f.u.): 0.00

=====

Number 1: energy -1.7312 eV/atom, energy of formation from the pure elements -381.7 meV per atom. Number 2: energy -8.5843 eV/atom, energy of formation from the pure elements 981.4 meV per atom.